# 1
Compound: Pm3Ge2C
Source: Alexandria
Functional: PBE-GGA
Structure: optimized geometry

a = 3.903 Å, b = 4.813 Å, c = 16.387 Å
α = 90.00°, β = 90.00°, γ = 90.00°
Space group Immm (No. 71)
Asymmetric unit:
1 Pm 0.000 0.000 0.000
2 Pm 0.000 0.500 0.158
3 Ge 0.000 0.500 0.347
4 C 0.000 0.500 0.000

Values from the calculation:
Its magnetic moment is 0.2 μB per formula unit. Its density of states at the Fermi level is 0.98 states/eV/atom. As for the formation energy: -119.1 meV per atom.

=====

# 2
Compound: VInRePt2
Source: Alexandria
Functional: PBE-GGA
Structure: optimized geometry

a = 4.712 Å, b = 4.712 Å, c = 4.458 Å
α = 90.00°, β = 90.00°, γ = 90.00°
Space group P4/mmm (No. 123)
Asymmetric unit:
1 V 0.000 0.000 0.000
2 In 0.500 0.500 0.500
3 Re 0.000 0.000 0.500
4 Pt 0.000 0.500 0.000

Values from the calculation:
Its magnetic moment is 0.0 μB per formula unit. Its density of states at the Fermi level is 0.81 states/eV/atom. As for the formation energy: 913.4 meV per atom.

=====

# 3
Compound: HfVPd3
Source: Alexandria
Functional: PBE-GGA
Structure: optimized geometry

a = 4.581 Å, b = 4.581 Å, c = 4.581 Å
α = 90.00°, β = 90.00°, γ = 90.00°
Space group Pm-3m (No. 221)
Asymmetric unit:
1 Hf 0.000 0.000 0.000
2 V 0.500 0.500 0.500
3 Pd 0.000 0.500 0.500

Values from the calculation:
Its magnetic moment is 0.0 μB per formula unit. Its density of states at the Fermi level is 0.93 states/eV/atom. The energy relative to the lowest polymorph listed for this composition comes out at 0.00 kcal/mol of atoms. As for the formation energy: 475.2 meV per atom.

=====

# 4
Compound: Li2PuSn4Rh
Source: Alexandria
Functional: PBE-GGA
Structure: optimized geometry

a = 4.6693 Å, b = 4.6693 Å, c = 26.8904 Å
α = 90.00°, β = 90.00°, γ = 120.00°
Space group R-3m (No. 166, hexagonal axes)
Asymmetric unit:
1 Li 0.0000 0.0000 0.2404
2 Pu 0.0000 0.0000 0.0000
3 Sn 0.0000 0.0000 0.1299
4 Sn 0.0000 0.0000 0.3942
5 Rh 0.0000 0.0000 0.5000

Values from the calculation:
Its magnetic moment is 5.7 μB per formula unit. Its density of states at the Fermi level is 1.74 states/eV/atom. As for the formation energy: -323.0 meV per atom.

=====

# 5
Compound: PaSiAs
Source: Alexandria
Functional: PBE-GGA
Structure: optimized geometry

a = 4.015 Å, b = 15.663 Å, c = 3.943 Å
α = 90.00°, β = 90.00°, γ = 90.00°
Space group Cmcm (No. 63)
Asymmetric unit:
1 Pa 0.000 0.106 0.250
2 Si 0.000 0.455 0.250
3 As 0.000 0.251 0.750

Values from the calculation:
Its magnetic moment is 0.0 μB per formula unit. As for the uncorrected formation energy: -0.6328 eV per atom. Its density of states at the Fermi level is 1.03 states/eV/atom. The energy relative to the lowest polymorph listed for this composition comes out at 0.00 kcal/mol of atoms.

=====

# 6
Compound: Sr2SmCu3O6
Source: Alexandria
Functional: PBE-GGA
Structure: optimized geometry

a = 3.835 Å, b = 3.835 Å, c = 11.726 Å
α = 90.00°, β = 90.00°, γ = 90.00°
Space group P4/mmm (No. 123)
Asymmetric unit:
1 Sr 0.000 0.000 0.196
2 Sm 0.000 0.000 0.500
3 Cu 0.500 0.500 0.000
4 Cu 0.500 0.500 0.351
5 O 0.000 0.500 0.370
6 O 0.500 0.500 0.155

Values from the calculation:
Its magnetic moment is 0.0 μB per formula unit. As for the uncorrected formation energy: -1.8814 eV per atom. Its density of states at the Fermi level is 0.32 states/eV/atom.

=====

# 7
Compound: VIrRh
Source: Alexandria
Functional: PBE-GGA
Structure: optimized geometry

a = 5.760 Å, b = 5.760 Å, c = 5.760 Å
α = 90.00°, β = 90.00°, γ = 90.00°
Space group F-43m (No. 216)
Asymmetric unit:
1 V 0.000 0.000 0.000
2 Ir 0.250 0.250 0.250
3 Rh 0.250 0.250 0.750

Values from the calculation:
Its magnetic moment is 0.0 μB per formula unit. Its density of states at the Fermi level is 0.75 states/eV/atom. The energy relative to the lowest polymorph listed for this composition comes out at 6.23 kcal/mol of atoms. As for the formation energy: -135.0 meV per atom.

=====

# 8
Compound: TmPuTh2
Source: Alexandria
Functional: PBE-GGA
Structure: optimized geometry

a = 7.831 Å, b = 7.831 Å, c = 7.831 Å
α = 90.00°, β = 90.00°, γ = 90.00°
Space group Fm-3m (No. 225)
Asymmetric unit:
1 Tm 0.000 0.000 0.000
2 Pu 0.000 0.000 0.500
3 Th 0.250 0.250 0.250

Values from the calculation:
Its magnetic moment is 6.8 μB per formula unit. Its density of states at the Fermi level is 3.75 states/eV/atom. The energy relative to the lowest polymorph listed for this composition comes out at 1.89 kcal/mol of atoms. As for the formation energy: 166.2 meV per atom.

=====

# 9
Compound: Mg2CdSi2
Source: Alexandria
Functional: PBE-GGA
Structure: optimized geometry

a = 4.398 Å, b = 4.398 Å, c = 10.889 Å
α = 90.00°, β = 90.00°, γ = 90.00°
Space group I4/mmm (No. 139)
Asymmetric unit:
1 Mg 0.000 0.500 0.250
2 Cd 0.000 0.000 0.000
3 Si 0.000 0.000 0.395

Values from the calculation:
Its magnetic moment is 0.0 μB per formula unit. As for the uncorrected formation energy: 0.1200 eV per atom. Its density of states at the Fermi level is 0.37 states/eV/atom. The energy relative to the lowest polymorph listed for this composition comes out at 0.50 kcal/mol of atoms.

=====

# 10
Compound: LiNiSe2
Source: Alexandria
Functional: PBE-GGA
Structure: optimized geometry

a = 3.1988 Å, b = 3.1988 Å, c = 24.5109 Å
α = 90.00°, β = 90.00°, γ = 120.00°
Space group R-3m (No. 166, hexagonal axes)
Asymmetric unit:
1 Li 0.0000 0.0000 0.0000
2 Ni 0.0000 0.0000 0.5000
3 Se 0.0000 0.0000 0.4091

Values from the calculation:
Its magnetic moment is 0.8 μB per formula unit. As for the uncorrected formation energy: -0.1183 eV per atom. Its density of states at the Fermi level is 0.73 states/eV/atom.